1.
# CrFeIr

A relaxed structure of CrFeIr (PBE, Alexandria via LeMat-Bulk).

Summary:
SG: P3m1 (156)
magnetic moment: 0.403 μB/atom
ΔH_f (0 K): 0.044 eV/atom
energy above the most stable polymorph in this dataset: 116.8 meV/atom
DOS at the Fermi energy: 1.178 states/eV/atom

a b c (Å): 2.6445 2.6445 6.3112
angles (deg): 90.00 90.00 120.00
Positions (direct):
Cr 0.0000 0.0000 0.0000
Fe 0.6667 0.3333 0.3163
Ir 0.3333 0.6667 0.6628

2.
# CrFe3Ir12

A relaxed structure of CrFe3Ir12 (PBE, Alexandria via LeMat-Bulk).

Summary:
SG: P4/mmm (123)
magnetic moment: 0.225 μB/atom
ΔH_f (0 K): -0.104 eV/atom
DOS at the Fermi energy: 0.932 states/eV/atom

a b c (Å): 3.8183 3.8183 15.3017
angles (deg): 90.00 90.00 90.00
Positions (direct):
Cr 0.0000 0.0000 0.0000
Fe 0.0000 0.0000 0.2527
Fe 0.0000 0.0000 0.5000
Fe 0.0000 0.0000 0.7473
Ir 0.0000 0.5000 0.1232
Ir 0.0000 0.5000 0.3747
Ir 0.0000 0.5000 0.6253
Ir 0.0000 0.5000 0.8768
Ir 0.5000 0.0000 0.1232
Ir 0.5000 0.0000 0.3747
Ir 0.5000 0.0000 0.6253
Ir 0.5000 0.0000 0.8768
Ir 0.5000 0.5000 0.0000
Ir 0.5000 0.5000 0.2494
Ir 0.5000 0.5000 0.5000
Ir 0.5000 0.5000 0.7506

3.
# Cr2FeIr

A relaxed structure of Cr2FeIr (PBE, Alexandria via LeMat-Bulk).

Summary:
SG: R3m (160)
magnetic moment: 0.116 μB/atom
ΔH_f (0 K): 0.156 eV/atom
energy above the most stable polymorph in this dataset: 208.7 meV/atom
DOS at the Fermi energy: 1.635 states/eV/atom

a b c (Å): 8.5125 8.5125 8.5125
angles (deg): 17.77 17.77 17.77
Positions (direct):
Cr 0.0000 0.0000 0.0000
Cr 0.2485 0.2485 0.2485
Fe 0.5048 0.5048 0.5048
Ir 0.7497 0.7497 0.7497

4.
# Cr2FeIr

A relaxed structure of Cr2FeIr (PBE, Alexandria via LeMat-Bulk).

Summary:
SG: Fm-3m (225)
magnetic moment: 1.199 μB/atom
ΔH_f (0 K): 0.135 eV/atom
energy above the most stable polymorph in this dataset: 187.7 meV/atom
DOS at the Fermi energy: 1.901 states/eV/atom

a b c (Å): 4.1526 4.1526 4.1526
angles (deg): 60.00 60.00 60.00
Positions (direct):
Cr 0.2500 0.2500 0.2500
Cr 0.7500 0.7500 0.7500
Fe 0.0000 0.0000 0.0000
Ir 0.5000 0.5000 0.5000

5.
# Cr2FeIr

A relaxed structure of Cr2FeIr (PBE, Alexandria via LeMat-Bulk).

Summary:
SG: F-43m (216)
magnetic moment: 0.733 μB/atom
ΔH_f (0 K): 0.067 eV/atom
energy above the most stable polymorph in this dataset: 119.6 meV/atom
DOS at the Fermi energy: 1.155 states/eV/atom

a b c (Å): 4.1330 4.1330 4.1330
angles (deg): 60.00 60.00 60.00
Positions (direct):
Cr 0.0000 0.0000 0.0000
Cr 0.2500 0.2500 0.2500
Fe 0.5000 0.5000 0.5000
Ir 0.7500 0.7500 0.7500

6.
# Cr2FeIr6

A relaxed structure of Cr2FeIr6 (PBE, Alexandria via LeMat-Bulk).

Summary:
SG: Fmmm (69)
magnetic moment: 0.036 μB/atom
ΔH_f (0 K): -0.137 eV/atom
DOS at the Fermi energy: 0.942 states/eV/atom

a b c (Å): 8.0086 6.0537 5.9033
angles (deg): 84.09 48.75 47.16
Positions (direct):
Cr 0.1610 0.1610 0.8390
Cr 0.8390 0.8390 0.1610
Fe 0.5000 0.5000 0.5000
Ir 0.1615 0.8385 0.1615
Ir 0.1743 0.4897 0.5103
Ir 0.4897 0.1743 0.8257
Ir 0.5103 0.8257 0.1743
Ir 0.8257 0.5103 0.4897
Ir 0.8385 0.1615 0.8385

7.
# Cr2Fe2Ir

A relaxed structure of Cr2Fe2Ir (PBE, Alexandria via LeMat-Bulk).

Summary:
SG: P4/mbm (127)
magnetic moment: 0.000 μB/atom
ΔH_f (0 K): 0.062 eV/atom
energy above the most stable polymorph in this dataset: 0.0 meV/atom
DOS at the Fermi energy: 1.078 states/eV/atom

a b c (Å): 6.6298 6.6298 2.6703
angles (deg): 90.00 90.00 90.00
Positions (direct):
Cr 0.1722 0.3278 0.0000
Cr 0.3278 0.8278 0.0000
Cr 0.6722 0.1722 0.0000
Cr 0.8278 0.6722 0.0000
Fe 0.1274 0.6274 0.5000
Fe 0.3726 0.1274 0.5000
Fe 0.6274 0.8726 0.5000
Fe 0.8726 0.3726 0.5000
Ir 0.0000 0.0000 0.5000
Ir 0.5000 0.5000 0.5000

8.
# CrFeIr

A relaxed structure of CrFeIr (PBE, Alexandria via LeMat-Bulk).

Summary:
SG: I4mm (107)
magnetic moment: 0.395 μB/atom
ΔH_f (0 K): -0.001 eV/atom
energy above the most stable polymorph in this dataset: 71.8 meV/atom
DOS at the Fermi energy: 1.212 states/eV/atom

a b c (Å): 5.7560 5.7560 5.7560
angles (deg): 153.52 153.52 37.79
Positions (direct):
Cr 0.0000 0.0000 0.0000
Fe 0.3407 0.3407 0.0000
Ir 0.6661 0.6661 0.0000

9.
# Cr2FeIr

A relaxed structure of Cr2FeIr (PBE, Alexandria via LeMat-Bulk).

Summary:
SG: R-3m (166)
magnetic moment: 0.097 μB/atom
ΔH_f (0 K): 0.136 eV/atom
energy above the most stable polymorph in this dataset: 189.0 meV/atom
DOS at the Fermi energy: 1.730 states/eV/atom

a b c (Å): 8.4713 8.4713 8.4713
angles (deg): 17.76 17.76 17.76
Positions (direct):
Cr 0.2462 0.2462 0.2462
Cr 0.7538 0.7538 0.7538
Fe 0.5000 0.5000 0.5000
Ir 0.0000 0.0000 0.0000

10.
# CrFeIr2

A relaxed structure of CrFeIr2 (PBE, Alexandria via LeMat-Bulk).

Summary:
SG: F-43m (216)
magnetic moment: 1.198 μB/atom
ΔH_f (0 K): 0.264 eV/atom
DOS at the Fermi energy: 1.817 states/eV/atom

a b c (Å): 4.2639 4.2639 4.2639
angles (deg): 60.00 60.00 60.00
Positions (direct):
Cr 0.0000 0.0000 0.0000
Fe 0.2500 0.2500 0.2500
Ir 0.5000 0.5000 0.5000
Ir 0.7500 0.7500 0.7500

11.
# CrFeIr2

A relaxed structure of CrFeIr2 (PBE, Alexandria via LeMat-Bulk).

Summary:
SG: Pmm2 (25)
magnetic moment: 0.297 μB/atom
ΔH_f (0 K): -0.070 eV/atom
DOS at the Fermi energy: 1.155 states/eV/atom

a b c (Å): 2.6803 3.7257 5.3178
angles (deg): 90.00 90.00 90.00
Positions (direct):
Cr 0.0000 0.0000 0.0000
Fe 0.5000 0.5000 0.2444
Ir 0.0000 0.0000 0.4782
Ir 0.5000 0.5000 0.7627

12.
# CrFeIr2

A relaxed structure of CrFeIr2 (PBE, Alexandria via LeMat-Bulk).

Summary:
SG: R3m (160)
magnetic moment: 0.667 μB/atom
ΔH_f (0 K): 0.060 eV/atom
DOS at the Fermi energy: 1.465 states/eV/atom

a b c (Å): 8.7406 8.7406 8.7406
angles (deg): 17.66 17.66 17.66
Positions (direct):
Cr 0.0000 0.0000 0.0000
Fe 0.2519 0.2519 0.2519
Ir 0.5044 0.5044 0.5044
Ir 0.7451 0.7451 0.7451

Number 6 is which compound?
Cr2FeIr6

What did the fourth record say?
# Cr2FeIr

A relaxed structure of Cr2FeIr (PBE, Alexandria via LeMat-Bulk).

Summary:
SG: Fm-3m (225)
magnetic moment: 1.199 μB/atom
ΔH_f (0 K): 0.135 eV/atom
energy above the most stable polymorph in this dataset: 187.7 meV/atom
DOS at the Fermi energy: 1.901 states/eV/atom

a b c (Å): 4.1526 4.1526 4.1526
angles (deg): 60.00 60.00 60.00
Positions (direct):
Cr 0.2500 0.2500 0.2500
Cr 0.7500 0.7500 0.7500
Fe 0.0000 0.0000 0.0000
Ir 0.5000 0.5000 0.5000